No. 1
# K3Sb | Alexandria via LeMat-Bulk | GGA-PBE | relaxed
# D(E_F) ... 3.137 states/eV per cell
# Calculated total energy ... -7.5 eV per cell
# Formation energy without anion corrections ... -8 kJ/mol of formula units
# Space-group type ... No. 187
data_K3Sb
_chemical_formula_sum 'K3 Sb1'
_cell_length_a 4.5237
_cell_length_b 4.5237
_cell_length_c 12.7537
_cell_angle_alpha 90.00
_cell_angle_beta 90.00
_cell_angle_gamma 120.00
_space_group_name_H-M_alt 'P 1'
_space_group_IT_number 1
loop_
_space_group_symop_operation_xyz
'x,y,z'
loop_
_atom_site_label
_atom_site_type_symbol
_atom_site_fract_x
_atom_site_fract_y
_atom_site_fract_z
K1 K 0.0000 0.0000 0.0000
K2 K 0.3333 0.6667 0.3192
K3 K 0.3333 0.6667 0.6808
Sb1 Sb 0.0000 0.0000 0.5000

=====

No. 2
# CoH2S2 | Alexandria via LeMat-Bulk | GGA-PBE | relaxed
# D(E_F) ... 6.280 states/eV per cell
# Calculated total energy ... -42.2 eV per cell
# Space-group type ... No. 127
data_CoH2S2
_chemical_formula_sum 'Co2 H4 S4'
_cell_length_a 6.1557
_cell_length_b 6.1557
_cell_length_c 3.0901
_cell_angle_alpha 90.00
_cell_angle_beta 90.00
_cell_angle_gamma 90.00
_space_group_name_H-M_alt 'P 1'
_space_group_IT_number 1
loop_
_space_group_symop_operation_xyz
'x,y,z'
loop_
_atom_site_label
_atom_site_type_symbol
_atom_site_fract_x
_atom_site_fract_y
_atom_site_fract_z
Co1 Co 0.0000 0.0000 0.0000
Co2 Co 0.5000 0.5000 0.0000
H1 H 0.1251 0.3749 0.5000
H2 H 0.3749 0.8749 0.5000
H3 H 0.6251 0.1251 0.5000
H4 H 0.8749 0.6251 0.5000
S1 S 0.1818 0.3182 0.0000
S2 S 0.3182 0.8182 0.0000
S3 S 0.6818 0.1818 0.0000
S4 S 0.8182 0.6818 0.0000

=====

No. 3
# Ba2ZrSc | Alexandria via LeMat-Bulk | GGA-PBE | relaxed
# D(E_F) ... 4.315 states/eV per cell
# Calculated total energy ... -16.3 eV per cell
# Calculated formation energy ... 0.5974 eV per atom
# Space-group type ... No. 166
data_Ba2ZrSc
_chemical_formula_sum 'Ba2 Zr1 Sc1'
_cell_length_a 12.2088
_cell_length_b 12.2088
_cell_length_c 12.2088
_cell_angle_alpha 17.04
_cell_angle_beta 17.04
_cell_angle_gamma 17.04
_space_group_name_H-M_alt 'P 1'
_space_group_IT_number 1
loop_
_space_group_symop_operation_xyz
'x,y,z'
loop_
_atom_site_label
_atom_site_type_symbol
_atom_site_fract_x
_atom_site_fract_y
_atom_site_fract_z
Ba1 Ba 0.2483 0.2483 0.2483
Ba2 Ba 0.7517 0.7517 0.7517
Zr1 Zr 0.5000 0.5000 0.5000
Sc1 Sc 0.0000 0.0000 0.0000

=====

Which value of calculated total energy does entry 3 give? -16.3 eV per cell